(1)
# GGA-PBE HgAsPSe2, optimized geometry
# E above lowest polymorph (meV/atom): 768
# V (Å³ per cell): 137.9
# Uncorrected formation energy (eV/atom): 1.280
# Raw total energy (eV/atom): -2.186
data_HgAsPSe2
_chemical_formula_sum 'Hg1 As1 P1 Se2'
_space_group_name_H-M_alt 'P 4/m m m'
_space_group_IT_number 123
_space_group_name_Hall '-P 4 2'
_cell_length_a 5.1393
_cell_length_b 5.1393
_cell_length_c 5.2209
_cell_angle_alpha 90.00
_cell_angle_beta 90.00
_cell_angle_gamma 90.00
loop_
_atom_site_label
_atom_site_fract_x
_atom_site_fract_y
_atom_site_fract_z
Hg1 0.0000 0.0000 0.0000
As1 0.0000 0.0000 0.5000
P1 0.5000 0.5000 0.5000
Se1 0.0000 0.5000 0.0000

***

(2)
# GGA-PBE Na3Br, optimized geometry
# E above lowest polymorph (meV/atom): 73
# V (Å³ per cell): 123.7
# Uncorrected formation energy (eV/atom): -0.572
# Raw total energy (eV/atom): -1.980
data_Na3Br
_chemical_formula_sum 'Na3 Br1'
_space_group_name_H-M_alt 'P m -3 m'
_space_group_IT_number 221
_space_group_name_Hall '-P 4 2 3'
_cell_length_a 4.9825
_cell_length_b 4.9825
_cell_length_c 4.9825
_cell_angle_alpha 90.00
_cell_angle_beta 90.00
_cell_angle_gamma 90.00
loop_
_atom_site_label
_atom_site_fract_x
_atom_site_fract_y
_atom_site_fract_z
Na1 0.0000 0.0000 0.5000
Br1 0.5000 0.5000 0.5000

***

(3)
# GGA-PBE GaGeF2, optimized geometry
# E above lowest polymorph (meV/atom): 456
# V (Å³ per cell): 322.0
# Uncorrected formation energy (eV/atom): -0.909
# Raw total energy (eV/atom): -3.756
data_GaGeF2
_chemical_formula_sum 'Ga4 Ge4 F8'
_space_group_name_H-M_alt 'I -4 2 d'
_space_group_IT_number 122
_space_group_name_Hall 'I -4 2bw'
_cell_length_a 5.8634
_cell_length_b 5.8634
_cell_length_c 9.3648
_cell_angle_alpha 90.00
_cell_angle_beta 90.00
_cell_angle_gamma 90.00
loop_
_atom_site_label
_atom_site_fract_x
_atom_site_fract_y
_atom_site_fract_z
Ga1 0.0000 0.0000 0.0000
Ge1 0.0000 0.0000 0.5000
F1 0.0942 0.2500 0.1250

***

(4)
# GGA-PBE TiInSe3, optimized geometry
# E above lowest polymorph (meV/atom): 235
# V (Å³ per cell): 126.6
# Uncorrected formation energy (eV/atom): -0.540
# Raw total energy (eV/atom): -4.758
data_TiInSe3
_chemical_formula_sum 'Ti1 In1 Se3'
_space_group_name_H-M_alt 'P m -3 m'
_space_group_IT_number 221
_space_group_name_Hall '-P 4 2 3'
_cell_length_a 5.0211
_cell_length_b 5.0211
_cell_length_c 5.0211
_cell_angle_alpha 90.00
_cell_angle_beta 90.00
_cell_angle_gamma 90.00
loop_
_atom_site_label
_atom_site_fract_x
_atom_site_fract_y
_atom_site_fract_z
Ti1 0.0000 0.0000 0.0000
In1 0.5000 0.5000 0.5000
Se1 0.0000 0.0000 0.5000

***

(5)
# GGA-PBE MgCr3Pd12, optimized geometry
# V (Å³ per cell): 241.3
# Formation energy from the elements (meV/atom): -176
# Raw total energy (eV/atom): -5.975
data_MgCr3Pd12
_chemical_formula_sum 'Mg1 Cr3 Pd12'
_space_group_name_H-M_alt 'P 4/m m m'
_space_group_IT_number 123
_space_group_name_Hall '-P 4 2'
_cell_length_a 3.9199
_cell_length_b 3.9199
_cell_length_c 15.7065
_cell_angle_alpha 90.00
_cell_angle_beta 90.00
_cell_angle_gamma 90.00
loop_
_atom_site_label
_atom_site_fract_x
_atom_site_fract_y
_atom_site_fract_z
Mg1 0.0000 0.0000 0.0000
Cr1 0.0000 0.0000 0.2527
Cr2 0.0000 0.0000 0.5000
Pd1 0.0000 0.5000 0.1294
Pd2 0.0000 0.5000 0.3760
Pd3 0.5000 0.5000 0.0000
Pd4 0.5000 0.5000 0.2524
Pd5 0.5000 0.5000 0.5000

***

(6)
# GGA-PBE NbBi3Ir, optimized geometry
# E above lowest polymorph (meV/atom): 127
# V (Å³ per cell): 156.6
# Formation energy from the elements (meV/atom): 1252
# Raw total energy (eV/atom): -4.862
data_NbBi3Ir
_chemical_formula_sum 'Nb1 Bi3 Ir1'
_space_group_name_H-M_alt 'P m -3 m'
_space_group_IT_number 221
_space_group_name_Hall '-P 4 2 3'
_cell_length_a 5.3905
_cell_length_b 5.3905
_cell_length_c 5.3905
_cell_angle_alpha 90.00
_cell_angle_beta 90.00
_cell_angle_gamma 90.00
loop_
_atom_site_label
_atom_site_fract_x
_atom_site_fract_y
_atom_site_fract_z
Nb1 0.0000 0.0000 0.0000
Bi1 0.0000 0.0000 0.5000
Ir1 0.5000 0.5000 0.5000

***

(7)
# GGA-PBE NbCuNi2Pd2, optimized geometry
# V (Å³ per cell): 167.9
# Formation energy from the elements (meV/atom): -68
# Raw total energy (eV/atom): -6.087
data_NbCuNi2Pd2
_chemical_formula_sum 'Nb2 Cu2 Ni4 Pd4'
_space_group_name_H-M_alt 'P 1 21/m 1'
_space_group_IT_number 11
_cell_length_a 4.8642
_cell_length_b 5.3517
_cell_length_c 6.4943
_cell_angle_alpha 90.00
_cell_angle_beta 96.63
_cell_angle_gamma 90.00
loop_
_space_group_symop_operation_xyz
'x,y,z'
'-x,-y,-z'
'-x,y+1/2,-z'
'x,-y+1/2,z'
loop_
_atom_site_label
_atom_site_fract_x
_atom_site_fract_y
_atom_site_fract_z
Nb1 0.2001 0.2500 0.1922
Cu1 0.1961 0.7500 0.1404
Ni1 0.0033 0.7500 0.4843
Ni2 0.4949 0.7500 0.4870
Pd1 0.2993 0.0032 0.8143

***

(8)
# GGA-PBE AlCd2Se, optimized geometry
# E above lowest polymorph (meV/atom): 143
# V (Å³ per cell): 185.2
# Uncorrected formation energy (eV/atom): -0.065
# Raw total energy (eV/atom): -2.329
data_AlCd2Se
_chemical_formula_sum 'Al2 Cd4 Se2'
_space_group_name_H-M_alt 'I m m 2'
_space_group_IT_number 44
_cell_length_a 3.5697
_cell_length_b 4.5847
_cell_length_c 11.3183
_cell_angle_alpha 90.00
_cell_angle_beta 90.00
_cell_angle_gamma 90.00
loop_
_space_group_symop_operation_xyz
'x,y,z'
'-x,-y,z'
'-x,y,z'
'x,-y,z'
'x+1/2,y+1/2,z+1/2'
'-x+1/2,-y+1/2,z+1/2'
'-x+1/2,y+1/2,z+1/2'
'x+1/2,-y+1/2,z+1/2'
loop_
_atom_site_label
_atom_site_fract_x
_atom_site_fract_y
_atom_site_fract_z
Al1 0.0000 0.0000 0.0000
Cd1 0.0000 0.0000 0.5528
Cd2 0.0000 0.5000 0.7254
Se1 0.0000 0.5000 0.3391

***

(9)
# GGA-PBE CdReW4, optimized geometry
# V (Å³ per cell): 414.7
# Formation energy from the elements (meV/atom): 581
# Raw total energy (eV/atom): -10.282
data_CdReW4
_chemical_formula_sum 'Cd4 Re4 W16'
_space_group_name_H-M_alt 'F -4 3 m'
_space_group_IT_number 216
_space_group_name_Hall 'F -4 2 3'
_cell_length_a 7.4571
_cell_length_b 7.4571
_cell_length_c 7.4571
_cell_angle_alpha 90.00
_cell_angle_beta 90.00
_cell_angle_gamma 90.00
loop_
_atom_site_label
_atom_site_fract_x
_atom_site_fract_y
_atom_site_fract_z
Cd1 0.0000 0.0000 0.0000
Re1 0.2500 0.2500 0.2500
W1 0.1255 0.1255 0.6255

***

Q: Among the records above, which one has the lowest raw total energy?
A: CdReW4